# 1
# PBE-GGA AcPuCuPd, relaxed
data_AcPuCuPd
_chemical_formula_sum 'Ac4 Pu4 Cu4 Pd4'
_cell_length_a 7.3397
_cell_length_b 7.3397
_cell_length_c 7.3397
_cell_angle_alpha 90.00
_cell_angle_beta 90.00
_cell_angle_gamma 90.00
_symmetry_space_group_name_H-M 'F -4 3 m'
_symmetry_Int_Tables_number 216
_symmetry_space_group_name_Hall 'F -4 2 3'
loop_
_atom_site_label
_atom_site_type_symbol
_atom_site_fract_x
_atom_site_fract_y
_atom_site_fract_z
Ac1 Ac 0.0000 0.0000 0.0000
Pu1 Pu 0.0000 0.0000 0.5000
Cu1 Cu 0.2500 0.2500 0.7500
Pd1 Pd 0.2500 0.2500 0.2500
# Formation energy: -0.21 eV/atom
# VASP energy: -7.141 eV per atom

# 2
# PBE-GGA Mn3AgPd6, relaxed
data_Mn3AgPd6
_chemical_formula_sum 'Mn6 Ag2 Pd12'
_cell_length_a 7.4531
_cell_length_b 4.5450
_cell_length_c 9.8354
_cell_angle_alpha 90.00
_cell_angle_beta 111.59
_cell_angle_gamma 90.00
_symmetry_space_group_name_H-M 'P 1 21/m 1'
_symmetry_Int_Tables_number 11
loop_
_symmetry_equiv_pos_as_xyz
'x,y,z'
'-x,-y,-z'
'-x,y+1/2,-z'
'x,-y+1/2,z'
loop_
_atom_site_label
_atom_site_type_symbol
_atom_site_fract_x
_atom_site_fract_y
_atom_site_fract_z
Mn1 Mn 0.0535 0.2500 0.3775
Mn2 Mn 0.1384 0.7500 0.2203
Mn3 Mn 0.2772 0.2500 0.9790
Ag1 Ag 0.4595 0.2500 0.5747
Pd1 Pd 0.0382 0.7500 0.9243
Pd2 Pd 0.1562 0.2500 0.6824
Pd3 Pd 0.2261 0.7500 0.5183
Pd4 Pd 0.3402 0.7500 0.8249
Pd5 Pd 0.3462 0.2500 0.2703
Pd6 Pd 0.4303 0.7500 0.1248
# Formation energy: -0.17 eV/atom
# VASP energy: -6.326 eV per atom

# 3
# PBE-GGA PbSe2O, relaxed
data_PbSe2O
_chemical_formula_sum 'Pb3 Se6 O3'
_cell_length_a 4.3786
_cell_length_b 4.3786
_cell_length_c 21.0813
_cell_angle_alpha 90.00
_cell_angle_beta 90.00
_cell_angle_gamma 120.00
_symmetry_space_group_name_H-M 'R -3 m'
_symmetry_Int_Tables_number 166
_symmetry_space_group_name_Hall '-R 3 2"'
loop_
_atom_site_label
_atom_site_type_symbol
_atom_site_fract_x
_atom_site_fract_y
_atom_site_fract_z
Pb1 Pb 0.0000 0.0000 0.0000
Se1 Se 0.0000 0.0000 0.4112
O1 O 0.0000 0.0000 0.5000
# Raw formation energy: -0.0030 eV per atom
# VASP energy: -3.912 eV per atom

# 4
# PBE-GGA Ba2CrPd, relaxed
data_Ba2CrPd
_chemical_formula_sum 'Ba8 Cr4 Pd4'
_cell_length_a 8.9003
_cell_length_b 8.9003
_cell_length_c 7.0481
_cell_angle_alpha 90.00
_cell_angle_beta 90.00
_cell_angle_gamma 90.00
_symmetry_space_group_name_H-M 'I -4 2 d'
_symmetry_Int_Tables_number 122
_symmetry_space_group_name_Hall 'I -4 2bw'
loop_
_atom_site_label
_atom_site_type_symbol
_atom_site_fract_x
_atom_site_fract_y
_atom_site_fract_z
Ba1 Ba 0.2146 0.7500 0.1250
Cr1 Cr 0.0000 0.0000 0.5000
Pd1 Pd 0.0000 0.0000 0.0000
# Formation energy: 0.40 eV/atom
# VASP energy: -4.262 eV per atom

> What is the formula in the fourth record?

Ba2CrPd

> Look up the VASP energy of the fourth one.

-4.262 eV per atom

What did the fourth record say?
# PBE-GGA Ba2CrPd, relaxed
data_Ba2CrPd
_chemical_formula_sum 'Ba8 Cr4 Pd4'
_cell_length_a 8.9003
_cell_length_b 8.9003
_cell_length_c 7.0481
_cell_angle_alpha 90.00
_cell_angle_beta 90.00
_cell_angle_gamma 90.00
_symmetry_space_group_name_H-M 'I -4 2 d'
_symmetry_Int_Tables_number 122
_symmetry_space_group_name_Hall 'I -4 2bw'
loop_
_atom_site_label
_atom_site_type_symbol
_atom_site_fract_x
_atom_site_fract_y
_atom_site_fract_z
Ba1 Ba 0.2146 0.7500 0.1250
Cr1 Cr 0.0000 0.0000 0.5000
Pd1 Pd 0.0000 0.0000 0.0000
# Formation energy: 0.40 eV/atom
# VASP energy: -4.262 eV per atom

> Which value of VASP energy does entry 4 give?

-4.262 eV per atom